The following is a GGA-PBE calculation of crystalline BeMoBr at its relaxed geometry, from Alexandria via LeMat-Bulk.

For the energy above the lowest structure with this stoichiometry, the calculation gives 0.0322 eV per atom. As for the density of states at the Fermi level: 4.0 states/eV per cell.

Cell: 2.975 2.975 13.106 Å, 90.00 90.00 90.00°
Space group I4mm (No. 107)
Unique sites:
Be 0.000 0.000 0.000 (multiplicity 2)
Mo 0.000 0.000 0.602 (multiplicity 2)
Br 0.000 0.000 0.238 (multiplicity 2)